Record 1
{"formula": "HoCrP2Rh5", "functional": "GGA-PBE", "state": "relaxed", "total_energy_ev_per_atom": -7.156, "cell": [[4.322, 0.000, 0.000], [0.000, 4.322, 0.000], [0.000, 0.000, 9.671]], "species": ["Ho", "Cr", "P", "P", "Rh", "Rh", "Rh", "Rh", "Rh"], "fractional_positions": [[0.000, 0.000, 0.000], [0.500, 0.500, 0.500], [0.500, 0.500, 0.259], [0.500, 0.500, 0.741], [0.000, 0.500, 0.204], [0.000, 0.500, 0.796], [0.500, 0.000, 0.204], [0.500, 0.000, 0.796], [0.500, 0.500, 0.000]]}

***

Record 2
{"formula": "HoCrP2Ru", "functional": "GGA-PBE", "state": "relaxed", "total_energy_ev_per_atom": -7.746, "cell": [[-2.009, 2.009, 4.785], [2.009, -2.009, 4.785], [2.009, 2.009, -4.785]], "species": ["Ho", "Cr", "P", "P", "Ru"], "fractional_positions": [[0.000, 0.000, 0.000], [0.750, 0.250, 0.500], [0.374, 0.374, 0.000], [0.626, 0.626, 0.000], [0.250, 0.750, 0.500]]}

***

Record 3
{"formula": "HoPaCrTc", "functional": "GGA-PBE", "state": "relaxed", "total_energy_ev_per_atom": -8.401, "cell": [[0.000, 3.426, 3.426], [3.426, 0.000, 3.426], [3.426, 3.426, 0.000]], "species": ["Ho", "Pa", "Cr", "Tc"], "fractional_positions": [[0.000, 0.000, 0.000], [0.500, 0.500, 0.500], [0.750, 0.750, 0.750], [0.250, 0.250, 0.250]]}

***

Record 4
{"formula": "HoCrPt6", "functional": "GGA-PBE", "state": "relaxed", "total_energy_ev_per_atom": -6.932, "cell": [[4.010, 0.000, 0.000], [0.000, 4.010, 0.000], [0.000, 0.000, 8.072]], "species": ["Ho", "Cr", "Pt", "Pt", "Pt", "Pt", "Pt", "Pt"], "fractional_positions": [[0.000, 0.000, 0.000], [0.000, 0.000, 0.500], [0.000, 0.500, 0.264], [0.000, 0.500, 0.736], [0.500, 0.000, 0.264], [0.500, 0.000, 0.736], [0.500, 0.500, 0.000], [0.500, 0.500, 0.500]]}

***

no.,energy of formation (eV/atom)
1,-0.292
2,-0.886
3,0.115
4,-0.626